[1]
LaSc2W | GGA-PBE | optimized geometry

DFT formation energy ... 0.452 eV/atom

Geometry as POSCAR:
```
LaSc2W
1.0
4.809 0.000 0.000
0.000 4.373 0.000
0.000 0.000 4.373
Sc W La
2 1 1
direct
0.000 0.000 0.000
0.000 0.500 0.500
0.500 0.500 0.000
0.500 0.000 0.500
```


[2]
OsPt2Pb | GGA-PBE | optimized geometry

DFT formation energy ... 0.473 eV/atom

Geometry as POSCAR:
```
OsPt2Pb
1.0
-3.662 3.435 -2.870
-4.790 2.007 2.545
5.756 -0.380 -0.415
Pt Pb Os
2 1 1
direct
0.737 0.237 0.500
0.989 0.989 0.000
0.260 0.760 0.500
0.514 0.514 0.000
```


[3]
PbAuN2 | GGA-PBE | optimized geometry

Raw formation energy ... 1.000 eV per atom

Geometry as POSCAR:
```
PbAuN2
1.0
0.855 2.688 5.986
0.146 -0.724 6.576
3.413 0.270 5.663
N Pb Au
2 1 1
direct
0.896 0.896 0.896
0.104 0.104 0.104
0.500 0.500 0.500
0.000 0.000 0.000
```


[4]
TaBrCl2 | GGA-PBE | optimized geometry

Raw formation energy ... -0.597 eV per atom
Offset from the most stable computed form ... 398.2 meV/atom

Geometry as POSCAR:
```
TaBrCl2
1.0
-5.067 -5.637 -2.066
0.241 -7.185 -3.170
1.573 5.671 5.205
Cl Ta Br
2 1 1
direct
0.003 0.003 0.000
0.636 0.136 0.500
0.502 0.502 0.000
0.358 0.858 0.500
```


[5]
ZrCd2Au6 | GGA-PBE | optimized geometry

DFT formation energy ... -0.254 eV/atom

Geometry as POSCAR:
```
ZrCd2Au6
1.0
5.024 0.172 0.555
0.698 8.153 2.371
0.303 -0.120 8.513
Zr Au Cd
2 12 4
direct
0.750 0.863 0.137
0.250 0.137 0.863
0.802 0.005 0.779
0.139 0.349 0.092
0.030 0.567 0.319
0.470 0.681 0.433
0.639 0.092 0.349
0.302 0.779 0.005
0.361 0.908 0.651
0.970 0.433 0.681
0.698 0.221 0.995
0.530 0.319 0.567
0.861 0.651 0.908
0.198 0.995 0.221
0.083 0.204 0.461
0.917 0.796 0.539
0.583 0.461 0.204
0.417 0.539 0.796
```


[6]
TbZn2Cd | GGA-PBE | optimized geometry

DFT formation energy ... -0.163 eV/atom

Geometry as POSCAR:
```
TbZn2Cd
1.0
3.411 0.000 0.000
0.000 3.411 0.000
0.000 0.000 7.122
Cd Zn Tb
1 2 1
direct
0.500 0.500 0.000
0.000 0.000 0.230
0.000 0.000 0.770
0.500 0.500 0.500
```


[7]
Y2Sn3Pd | GGA-PBE | optimized geometry

DFT formation energy ... -0.694 eV/atom

Geometry as POSCAR:
```
Y2Sn3Pd
1.0
-3.176 -2.781 -1.902
-4.115 -1.933 4.062
-5.299 2.972 -1.132
Sn Y Pd
3 2 1
direct
0.876 0.594 0.655
0.815 0.233 0.137
0.151 0.787 0.911
0.434 0.815 0.317
0.555 0.183 0.707
0.169 0.388 0.273
```


[8]
NbAl2BI | GGA-PBE | optimized geometry

Raw formation energy ... 1.550 eV per atom

Geometry as POSCAR:
```
NbAl2BI
1.0
5.167 0.000 0.000
0.000 5.267 0.000
0.000 0.000 5.167
B Nb Al I
1 1 2 1
direct
0.500 0.500 0.500
0.000 0.000 0.000
0.500 0.000 0.000
0.000 0.000 0.500
0.000 0.500 0.000
```


[9]
AlZnB2S | GGA-PBE | optimized geometry

Raw formation energy ... 1.401 eV per atom
Offset from the most stable computed form ... 115.8 meV/atom

Geometry as POSCAR:
```
AlZnB2S
1.0
-2.160 -2.194 -2.681
3.397 -0.721 -2.147
0.863 -4.269 2.798
Zn Al S B
1 1 1 2
direct
0.000 0.000 0.500
0.000 0.000 0.000
0.500 0.500 0.500
0.000 0.500 0.000
0.500 0.000 0.000
```


[10]
Re2NiHg | GGA-PBE | optimized geometry

DFT formation energy ... 0.702 eV/atom

Geometry as POSCAR:
```
Re2NiHg
1.0
-1.210 3.711 2.562
0.033 -4.807 2.790
2.447 0.002 1.283
Re Ni Hg
2 1 1
direct
0.000 0.000 0.000
0.500 0.000 0.500
0.500 0.500 0.000
0.000 0.500 0.500
```


[11]
NaTe3Pd | GGA-PBE | optimized geometry

Raw formation energy ... -0.097 eV per atom
Offset from the most stable computed form ... 231.8 meV/atom

Geometry as POSCAR:
```
NaTe3Pd
1.0
5.381 0.000 0.000
0.000 5.381 0.000
0.000 0.000 5.381
Te Na Pd
3 1 1
direct
0.000 0.500 0.000
0.500 0.000 0.000
0.000 0.000 0.500
0.500 0.500 0.500
0.000 0.000 0.000
```


[12]
SrBrN2O | GGA-PBE | optimized geometry

Raw formation energy ... 1.349 eV per atom

Geometry as POSCAR:
```
SrBrN2O
1.0
-2.266 3.389 3.176
2.652 -1.957 3.980
3.627 3.211 -0.838
O N Sr Br
1 2 1 1
direct
0.000 0.000 0.500
0.500 0.000 0.000
0.000 0.500 0.000
0.000 0.000 0.000
0.500 0.500 0.500
```


Copy entry 5 word for word.
ZrCd2Au6 | GGA-PBE | optimized geometry

DFT formation energy ... -0.254 eV/atom

Geometry as POSCAR:
```
ZrCd2Au6
1.0
5.024 0.172 0.555
0.698 8.153 2.371
0.303 -0.120 8.513
Zr Au Cd
2 12 4
direct
0.750 0.863 0.137
0.250 0.137 0.863
0.802 0.005 0.779
0.139 0.349 0.092
0.030 0.567 0.319
0.470 0.681 0.433
0.639 0.092 0.349
0.302 0.779 0.005
0.361 0.908 0.651
0.970 0.433 0.681
0.698 0.221 0.995
0.530 0.319 0.567
0.861 0.651 0.908
0.198 0.995 0.221
0.083 0.204 0.461
0.917 0.796 0.539
0.583 0.461 0.204
0.417 0.539 0.796
```